(1)
VASP calculation (PBE-GGA) on an optimized crystal structure of PmPrAgPt.

Properties
formation energy: -655 meV/atom
energy relative to the lowest polymorph listed for this composition: 34.6 meV per atom
crystal system: cubic

Cell: 7.3456 7.3456 7.3456 Å, 90.00 90.00 90.00°
Last column: nearest neighbours and their distance in Å.
Space group F-43m (No. 216)
Symmetry-distinct sites (fractional):
Pm1 0.0000 0.0000 0.0000 (multiplicity 4)  4 Pt 3.18, 4 Ag 3.18
Pr1 0.0000 0.0000 0.5000 (multiplicity 4)  4 Pt 3.18, 4 Ag 3.18
Ag1 0.2500 0.2500 0.7500 (multiplicity 4)  4 Pr 3.18, 4 Pm 3.18
Pt1 0.2500 0.2500 0.2500 (multiplicity 4)  4 Pr 3.18, 4 Pm 3.18

(2)
VASP calculation (PBE-GGA) on an optimized crystal structure of Ce2YC.

Properties
formation energy: -34 meV/atom
crystal system: trigonal

Cell: 3.5357 3.5357 28.2347 Å, 90.00 90.00 120.00°
Last column: nearest neighbours and their distance in Å.
Space group R-3m (No. 166, hexagonal axes)
Symmetry-distinct sites (fractional):
Ce1 0.0000 0.0000 0.2179 (multiplicity 6)  3 C 2.50
Y1 0.0000 0.0000 0.0000 (multiplicity 3)  6 Y 3.54, 6 Ce 3.85
C1 0.0000 0.0000 0.5000 (multiplicity 3)  6 Ce 2.50

(3)
VASP calculation (PBE-GGA) on an optimized crystal structure of ThHgBi2N.

Properties
uncorrected formation energy: -590.8 meV per atom
crystal system: tetragonal

Cell: 4.2249 4.2249 16.4437 Å, 90.00 90.00 90.00°
Last column: nearest neighbours and their distance in Å.
Space group P4/nmm (No. 129, origin choice 2)
Symmetry-distinct sites (fractional):
Th1 0.2500 0.2500 0.0670 (multiplicity 2)  4 N 2.38
Hg1 0.2500 0.2500 0.6407 (multiplicity 2)  2 Bi 2.80-3.02
Bi1 0.2500 0.2500 0.4570 (multiplicity 2)  1 Hg 3.02, 4 Bi 3.31
Bi2 0.2500 0.2500 0.8111 (multiplicity 2)  1 Hg 2.80
N1 0.2500 0.7500 0.0000 (multiplicity 2)  4 Th 2.38

(4)
VASP calculation (PBE-GGA) on an optimized crystal structure of MnBe2As.

Properties
formation energy: 408 meV/atom
crystal system: trigonal

Cell: 2.7324 2.7324 22.4297 Å, 90.00 90.00 120.00°
Last column: nearest neighbours and their distance in Å.
Space group R-3m (No. 166, hexagonal axes)
Symmetry-distinct sites (fractional):
Mn1 0.0000 0.0000 0.0000 (multiplicity 3)  6 Be 2.37
Be1 0.0000 0.0000 0.2543 (multiplicity 6)  3 Mn 2.37, 3 As 2.52
As1 0.0000 0.0000 0.5000 (multiplicity 3)  6 Be 2.52, 6 As 2.73

Values for total DFT energy (no corrections), eV/f.u., ordered as above
-21.0 -27.7 -26.8 -19.6